5
Lattice="-1.377 -3.509 -0.509 2.524 -1.353 2.504 -3.442 0.785 3.894" Properties=species:S:1:pos:R:3 comment="AlTeSN2 | Alexandria via LeMat-Bulk | GGA-PBE | relaxed" m_tot_mub_per_cell=0.734 polymorph_energy_mev_per_atom=782 volume_a3_per_atom=15.21 total_energy_ev_per_atom=-3.9959 pbc="T T T"
S 0.000 0.000 0.000
Al -1.147 -2.039 2.944
N 1.262 -0.677 1.252
N -0.688 -1.755 -0.254
Te -1.721 0.393 1.947